[1]
This record from Alexandria describes a relaxed La4InFe crystal. The functional is PBE.

Lattice parameters (Å, degrees): 6.4411 6.4411 6.4411 60.00 60.00 60.00
Closest atoms and distances in Å follow each position.
Sites, in units of the cell vectors:
La (0.1250, 0.1250, 0.1250)  6 La 3.22
La (0.1250, 0.1250, 0.6249)  6 La 3.22
La (0.1250, 0.6249, 0.1250)  6 La 3.22
La (0.6249, 0.1250, 0.1250)  6 La 3.22
In (0.5000, 0.5000, 0.5000)  12 La 3.78, 4 Fe 3.94
Fe (0.7500, 0.7500, 0.7500)  12 La 3.78, 4 In 3.94

Computed properties:
Polymorph energy (0 for the lowest one) in meV/atom: 706
Spin magnetization in μB per cell: 2.20

***

[2]
This record from Alexandria describes a relaxed K2ZnRh3F12 crystal. The functional is PBE.

Lattice parameters (Å, degrees): 7.4258 7.4258 7.4258 60.79 60.79 60.79
Closest atoms and distances in Å follow each position.
Sites, in units of the cell vectors:
K (0.1513, 0.1513, 0.1513)  3 F 2.89
K (0.8487, 0.8487, 0.8487)  3 F 2.89
Zn (0.5000, 0.5000, 0.5000)  6 F 2.05
Rh (0.0000, 0.5000, 0.5000)  6 F 2.02-2.06
Rh (0.5000, 0.0000, 0.5000)  6 F 2.02-2.06
Rh (0.5000, 0.5000, 0.0000)  6 F 2.02-2.06
F (0.1698, 0.1698, 0.5720)  2 Rh 2.06
F (0.1698, 0.5720, 0.1698)  2 Rh 2.06
F (0.1715, 0.5784, 0.5784)  1 Rh 2.02, 1 Zn 2.05
F (0.4216, 0.4216, 0.8285)  1 Rh 2.02, 1 Zn 2.05
F (0.4216, 0.8285, 0.4216)  1 Rh 2.02, 1 Zn 2.05
F (0.4280, 0.8302, 0.8302)  2 Rh 2.06
F (0.5720, 0.1698, 0.1698)  2 Rh 2.06
F (0.5784, 0.1715, 0.5784)  1 Rh 2.02, 1 Zn 2.05
F (0.5784, 0.5784, 0.1715)  1 Rh 2.02, 1 Zn 2.05
F (0.8285, 0.4216, 0.4216)  1 Rh 2.02, 1 Zn 2.05
F (0.8302, 0.4280, 0.8302)  2 Rh 2.06
F (0.8302, 0.8302, 0.4280)  2 Rh 2.06

Computed properties:
Formation energy (no corrections) in eV per atom: -1.91
Spin magnetization in μB per cell: 1.04

***

[3]
This record from Alexandria describes a relaxed BeAg2RuPb crystal. The functional is PBE.

Lattice parameters (Å, degrees): 4.4008 4.4008 4.8459 90.00 90.00 90.00
Closest atoms and distances in Å follow each position.
Sites, in units of the cell vectors:
Be (0.0000, 0.0000, 0.0000)  4 Ag 2.20, 2 Pb 2.42
Ag (0.0000, 0.5000, 0.0000)  2 Be 2.20
Ag (0.5000, 0.0000, 0.0000)  2 Be 2.20
Ru (0.5000, 0.5000, 0.5000)  4 Pb 3.11, 8 Ag 3.27
Pb (0.0000, 0.0000, 0.5000)  2 Be 2.42

Computed properties:
Final energy in eV for the cell shown: -17.9
Spin magnetization in μB per cell: 1.78

***

[4]
This record from Alexandria describes a relaxed Cs2LaO2F2 crystal. The functional is PBE.

Lattice parameters (Å, degrees): 4.6101 4.6101 15.7075 90.00 90.00 90.00
Closest atoms and distances in Å follow each position.
Sites, in units of the cell vectors:
Cs (0.0000, 0.0000, 0.1516)  5 F 3.03-3.26, 4 O 3.31
Cs (0.0000, 0.0000, 0.8484)  5 F 3.03-3.26, 4 O 3.31
Cs (0.5000, 0.5000, 0.3484)  5 F 3.03-3.26, 4 O 3.31
Cs (0.5000, 0.5000, 0.6516)  5 F 3.03-3.26, 4 O 3.31
La (0.0000, 0.0000, 0.5000)  4 O 2.31, 2 F 2.44
La (0.5000, 0.5000, 0.0000)  4 O 2.31, 2 F 2.44
O (0.0000, 0.5000, 0.0000)  2 La 2.31
O (0.0000, 0.5000, 0.5000)  2 La 2.31
O (0.5000, 0.0000, 0.0000)  2 La 2.31
O (0.5000, 0.0000, 0.5000)  2 La 2.31
F (0.0000, 0.0000, 0.3445)  1 La 2.44
F (0.0000, 0.0000, 0.6555)  1 La 2.44
F (0.5000, 0.5000, 0.1555)  1 La 2.44
F (0.5000, 0.5000, 0.8445)  1 La 2.44

Computed properties:
Formation energy (no corrections) in eV per atom: -2.62
Spin magnetization in μB per cell: 2.03

***

[5]
This record from Alexandria describes a relaxed HoPdRh crystal. The functional is PBE.

Lattice parameters (Å, degrees): 5.1050 5.1522 5.3714 90.00 90.00 90.00
Closest atoms and distances in Å follow each position.
Sites, in units of the cell vectors:
Ho (0.0000, 0.0000, 0.0000)  2 Rh 2.58, 2 Pd 2.69
Ho (0.5000, 0.5000, 0.5000)  2 Rh 2.58, 2 Pd 2.69
Pd (0.0000, 0.0000, 0.5000)  2 Rh 2.55, 2 Ho 2.69
Pd (0.5000, 0.5000, 0.0000)  2 Rh 2.55, 2 Ho 2.69
Rh (0.0000, 0.5000, 0.0000)  2 Pd 2.55, 2 Ho 2.58
Rh (0.5000, 0.0000, 0.5000)  2 Pd 2.55, 2 Ho 2.58

Computed properties:
Polymorph energy (0 for the lowest one) in meV/atom: 706
Spin magnetization in μB per cell: 0.03

***

[6]
This record from Alexandria describes a relaxed ScCoPdPb crystal. The functional is PBE.

Lattice parameters (Å, degrees): 6.5333 6.5333 6.5333 90.00 90.00 90.00
Closest atoms and distances in Å follow each position.
Sites, in units of the cell vectors:
Sc (0.0000, 0.0000, 0.0000)  4 Co 2.83, 4 Pd 2.83
Sc (0.0000, 0.5000, 0.5000)  4 Co 2.83, 4 Pd 2.83
Sc (0.5000, 0.0000, 0.5000)  4 Co 2.83, 4 Pd 2.83
Sc (0.5000, 0.5000, 0.0000)  4 Co 2.83, 4 Pd 2.83
Co (0.2500, 0.2500, 0.7500)  4 Pb 2.83, 4 Sc 2.83
Co (0.2500, 0.7500, 0.2500)  4 Pb 2.83, 4 Sc 2.83
Co (0.7500, 0.2500, 0.2500)  4 Pb 2.83, 4 Sc 2.83
Co (0.7500, 0.7500, 0.7500)  4 Pb 2.83, 4 Sc 2.83
Pd (0.2500, 0.2500, 0.2500)  4 Pb 2.83, 4 Sc 2.83
Pd (0.2500, 0.7500, 0.7500)  4 Pb 2.83, 4 Sc 2.83
Pd (0.7500, 0.2500, 0.7500)  4 Pb 2.83, 4 Sc 2.83
Pd (0.7500, 0.7500, 0.2500)  4 Pb 2.83, 4 Sc 2.83
Pb (0.0000, 0.0000, 0.5000)  4 Co 2.83, 4 Pd 2.83
Pb (0.0000, 0.5000, 0.0000)  4 Co 2.83, 4 Pd 2.83
Pb (0.5000, 0.0000, 0.0000)  4 Co 2.83, 4 Pd 2.83
Pb (0.5000, 0.5000, 0.5000)  4 Co 2.83, 4 Pd 2.83

Computed properties:
Final energy in eV for the cell shown: -94.3
Spin magnetization in μB per cell: 4.55

***

[7]
This record from Alexandria describes a relaxed MnCoRe2Mo crystal. The functional is PBE.

Lattice parameters (Å, degrees): 4.6807 4.6807 4.5019 90.00 90.00 90.00
Closest atoms and distances in Å follow each position.
Sites, in units of the cell vectors:
Mn (0.0000, 0.0000, 0.0000)  2 Mo 2.25
Co (0.5000, 0.5000, 0.0000)  8 Re 3.25, 4 Mn 3.31
Re (0.0000, 0.5000, 0.5000)  2 Mo 2.34
Re (0.5000, 0.0000, 0.5000)  2 Mo 2.34
Mo (0.0000, 0.0000, 0.5000)  2 Mn 2.25, 4 Re 2.34

Computed properties:
Final energy in eV for the cell shown: -41.1
Spin magnetization in μB per cell: 4.49

***

[8]
This record from Alexandria describes a relaxed BaY2P2 crystal. The functional is PBE.

Lattice parameters (Å, degrees): 4.6430 4.6430 13.7525 90.00 90.00 90.00
Closest atoms and distances in Å follow each position.
Sites, in units of the cell vectors:
Ba (0.0000, 0.0000, 0.0000)  8 P 3.77, 8 Y 4.15
Ba (0.5000, 0.5000, 0.5000)  8 P 3.77, 8 Y 4.15
Y (0.0000, 0.5000, 0.2500)  4 P 2.81
Y (0.0000, 0.5000, 0.7500)  4 P 2.81
Y (0.5000, 0.0000, 0.2500)  4 P 2.81
Y (0.5000, 0.0000, 0.7500)  4 P 2.81
P (0.0000, 0.0000, 0.3651)  4 Y 2.81
P (0.0000, 0.0000, 0.6349)  4 Y 2.81
P (0.5000, 0.5000, 0.1349)  4 Y 2.81
P (0.5000, 0.5000, 0.8651)  4 Y 2.81

Computed properties:
Polymorph energy (0 for the lowest one) in meV/atom: 25
Spin magnetization in μB per cell: 1.60